# SrCa12Zn6

A geometry-optimized SrCa12Zn6 structure (PBE-GGA, Alexandria via LeMat-Bulk).

ΔH_f (0 K): -2.6 kcal/mol of atoms

a b c (Å): 10.844 10.844 10.844
angles (deg): 90.00 90.00 90.00
Space group Im-3 (No. 204)
Asymmetric unit:
Sr 0.000 0.000 0.000 x2
Ca 0.000 0.191 0.303 x24
Zn 0.000 0.385 0.500 x12

=====

# SrCaZn10

A geometry-optimized SrCaZn10 structure (PBE-GGA, Alexandria via LeMat-Bulk).

ΔH_f (0 K): -4.7 kcal/mol of atoms

a b c (Å): 4.283 5.470 9.426
angles (deg): 90.00 90.00 90.00
Space group Pmmm (No. 47)
Asymmetric unit:
Sr 0.000 0.000 0.000 x1
Ca 0.000 0.500 0.500 x1
Zn 0.000 0.000 0.340 x2
Zn 0.000 0.500 0.173 x2
Zn 0.500 0.000 0.500 x1
Zn 0.500 0.252 0.254 x4
Zn 0.500 0.500 0.000 x1

=====

# SrCaZn2

A geometry-optimized SrCaZn2 structure (PBE-GGA, Alexandria via LeMat-Bulk).

ΔH_f (0 K): -5.0 kcal/mol of atoms

a b c (Å): 4.503 4.511 6.197
angles (deg): 90.00 111.19 90.00
Space group Pm (No. 6)
Asymmetric unit:
Sr 0.000 0.000 0.000 x1
Ca 0.287 0.500 0.575 x1
Zn 0.594 0.500 0.187 x1
Zn 0.710 0.000 0.421 x1

=====

Q: Which of these has the highest ΔH_f (0 K)?
A: SrCa12Zn6